VASP calculation (PBE-GGA) on crystalline Th7Tc2Te2 at its relaxed geometry.

Calculated values
- M_tot: 0.00 μB/f.u.
- Total energy: -7.65 eV per atom

Lattice parameters (Å, degrees): 3.948 16.421 9.834 90.00 90.00 90.00
Space group Imm2 (No. 44)
Asymmetric unit:
1 Th 0.000 0.000 0.000 (multiplicity 2)
2 Th 0.000 0.137 0.424 (multiplicity 4)
3 Th 0.000 0.321 0.624 (multiplicity 4)
4 Th 0.000 0.346 0.252 (multiplicity 4)
5 Tc 0.000 0.226 0.934 (multiplicity 4)
6 Te 0.000 0.000 0.670 (multiplicity 2)
7 Te 0.000 0.500 0.774 (multiplicity 2)


VASP calculation (PBE-GGA) on crystalline Th4Tc2Te at its relaxed geometry.

Calculated values
- Energy above the lowest structure with this stoichiometry: 0 meV per atom
- M_tot: 0.00 μB/f.u.

Lattice parameters (Å, degrees): 12.371 4.312 14.954 90.00 90.00 90.00
Space group Pnma (No. 62)
Asymmetric unit:
1 Th 0.006 0.250 0.219 (multiplicity 4)
2 Th 0.061 0.750 0.418 (multiplicity 4)
3 Th 0.133 0.250 0.997 (multiplicity 4)
4 Th 0.218 0.250 0.667 (multiplicity 4)
5 Tc 0.064 0.750 0.120 (multiplicity 4)
6 Tc 0.103 0.750 0.598 (multiplicity 4)
7 Te 0.248 0.250 0.346 (multiplicity 4)


VASP calculation (PBE-GGA) on crystalline Th5TcTe4 at its relaxed geometry.

Calculated values
- M_tot: 0.00 μB/f.u.
- Total energy: -6.91 eV per atom

Lattice parameters (Å, degrees): 9.914 9.914 6.287 90.00 90.00 90.00
Space group I4/m (No. 87)
Asymmetric unit:
1 Th 0.000 0.000 0.000 (multiplicity 2)
2 Th 0.097 0.262 0.500 (multiplicity 8)
3 Tc 0.000 0.000 0.500 (multiplicity 2)
4 Te 0.083 0.312 0.000 (multiplicity 8)